{"formula": "ZrMnNi5", "functional": "PBE-GGA", "state": "relaxed", "lattice": [[7.780, 0.000, 0.000], [0.000, 4.719, 0.000], [0.000, 0.000, 9.818]], "species": ["Zr", "Zr", "Zr", "Zr", "Mn", "Mn", "Mn", "Mn", "Ni", "Ni", "Ni", "Ni", "Ni", "Ni", "Ni", "Ni", "Ni", "Ni", "Ni", "Ni", "Ni", "Ni", "Ni", "Ni", "Ni", "Ni", "Ni", "Ni"], "frac_coords": [[0.249, 0.250, 0.060], [0.251, 0.750, 0.560], [0.749, 0.250, 0.440], [0.751, 0.750, 0.940], [0.142, 0.750, 0.855], [0.358, 0.250, 0.355], [0.642, 0.750, 0.645], [0.858, 0.250, 0.145], [0.047, 0.750, 0.088], [0.065, 0.006, 0.306], [0.065, 0.494, 0.306], [0.096, 0.250, 0.518], [0.190, 0.250, 0.750], [0.310, 0.750, 0.250], [0.404, 0.750, 0.018], [0.435, 0.506, 0.806], [0.435, 0.994, 0.806], [0.453, 0.250, 0.588], [0.547, 0.750, 0.412], [0.565, 0.006, 0.194], [0.565, 0.494, 0.194], [0.596, 0.250, 0.982], [0.690, 0.250, 0.750], [0.810, 0.750, 0.250], [0.904, 0.750, 0.482], [0.935, 0.506, 0.694], [0.935, 0.994, 0.694], [0.953, 0.250, 0.912]], "ef_ev_per_atom": -0.255, "total_magnetization_mub_per_fu": 5.0}